Entry from the Alexandria database: an optimized crystal structure of K3Pu6F20 (PBE).

The structure in POSCAR format:
```
K3Pu6F20
1.0
0.000 6.174 6.174
6.174 0.000 6.174
6.174 6.174 0.000
K Pu F
3 6 20
direct
0.000 0.000 0.000
0.250 0.250 0.250
0.750 0.750 0.750
0.266 0.266 0.734
0.266 0.734 0.266
0.266 0.734 0.734
0.734 0.266 0.266
0.734 0.266 0.734
0.734 0.734 0.266
0.000 0.000 0.322
0.000 0.000 0.678
0.000 0.322 0.000
0.000 0.322 0.678
0.000 0.678 0.000
0.000 0.678 0.322
0.159 0.614 0.614
0.322 0.000 0.000
0.322 0.000 0.678
0.322 0.678 0.000
0.386 0.386 0.386
0.386 0.386 0.841
0.386 0.841 0.386
0.614 0.159 0.614
0.614 0.614 0.159
0.614 0.614 0.614
0.678 0.000 0.000
0.678 0.000 0.322
0.678 0.322 0.000
0.841 0.386 0.386
```

Summary:
**Formation energy (no corrections)**: -3.376 eV/atom
**V**: 16.2 A^3/atom